1.
This record from Alexandria via LeMat-Bulk describes crystalline K2CdAu5 at its relaxed geometry. The functional is GGA-PBE.

It has space group P1 (No. 1), with a = 5.6070 Å, b = 6.6424 Å, c = 6.9440 Å, α = 104.59°, β = 104.96° and γ = 110.21°. The asymmetric unit holds K at (0.0000, 0.0000, 0.0000), K at (0.1847, 0.7233, 0.5810), Cd at (0.5012, 0.8202, 0.2200), Au at (0.9998, 0.1766, 0.5242), Au at (0.4556, 0.4465, 0.9037), Au at (0.5148, 0.2141, 0.5314), Au at (0.6796, 0.2712, 0.1861) and Au at (0.9756, 0.4691, 0.9470).

Its volume is 217 Å³ per cell.

=====

2.
This record from Alexandria via LeMat-Bulk describes crystalline K5Cd5Au2 at its relaxed geometry. The functional is GGA-PBE.

It has space group C2/m (No. 12), with a = 17.8273 Å, b = 4.8604 Å, c = 13.2513 Å, α = 90.00°, β = 131.10° and γ = 90.00°. The asymmetric unit holds K at (0.0000, 0.0000, 0.0000), K at (0.1273, 0.5000, 0.8251), K at (0.1991, 0.5000, 0.5792), Cd at (0.0000, 0.0000, 0.5000), Cd at (0.0594, 0.0000, 0.3213), Cd at (0.2122, 0.5000, 0.1668) and Au at (0.1072, 0.5000, 0.2578).

Its volume is 865 Å³ per cell.

=====

3.
This record from Alexandria via LeMat-Bulk describes crystalline K6CdAu at its relaxed geometry. The functional is GGA-PBE.

It has space group Amm2 (No. 38), with a = 4.6352 Å, b = 13.1819 Å, c = 14.6156 Å, α = 90.00°, β = 90.00° and γ = 90.00°. The asymmetric unit holds K at (0.0000, 0.0000, 0.0000), K at (0.0000, 0.1529, 0.7122), K at (0.5000, 0.0000, 0.2671), K at (0.5000, 0.2158, 0.4699), Cd at (0.0000, 0.0000, 0.4841) and Au at (0.5000, 0.0000, 0.5976).

Its volume is 893 Å³ per cell.

=====

4.
This record from Alexandria via LeMat-Bulk describes crystalline K2Cd7Au at its relaxed geometry. The functional is GGA-PBE.

It has space group Fm-3m (No. 225), with a = 10.9455 Å, b = 10.9455 Å, c = 10.9455 Å, α = 90.00°, β = 90.00° and γ = 90.00°. The asymmetric unit holds K at (0.2500, 0.2500, 0.2500), Cd at (0.0000, 0.0000, 0.0000), Cd at (0.0000, 0.0000, 0.2536) and Au at (0.0000, 0.0000, 0.5000).

Its volume is 1311 Å³ per cell. For the energy above the most stable polymorph in this dataset, the calculation gives 77 meV/atom.

=====

Ordered Fermi-level density of states results: 2.760; 4.505; 5.268; 3.982; unit states/eV/f.u..
Ordered magnetic moment results: 0.000; 0.000; 0.000; 0.000; unit Bohr magnetons per cell.
Ordered E_form results: -19.3; -13.7; -8.9; -1.7; unit kJ/mol of atoms.